A relaxed structure of BaCaBe2. Source: Alexandria, functional PBE-GGA.

a b c (Å): 3.8311 3.8708 8.1840
angles (deg): 61.68 90.00 90.00
Last column: nearest neighbours and their distance in Å.
Positions (direct):
Be1 0.0000 0.9091 0.0917  1 Be 2.28
Be2 0.0000 0.5909 0.4083  1 Be 2.28
Ca1 0.5000 0.2500 0.2500  8 Be 2.95
Ba1 0.5000 0.7500 0.7500  2 Ca 3.60, 8 Be 3.67, 4 Ba 3.83-3.87

Summary:
energy of formation from the pure elements	1.906	eV per formula unit
total moment	0.00	Bohr magnetons per cell
space group	P2/m